This record from the Alexandria database describes an optimized crystal structure of Cs3NiAu. The functional is GGA-PBE.

raw total energy = -2.001 eV/atom
magnetic moment = 0.000 μB/atom
crystal system = cubic

abc: 6.4030 6.4030 6.4030
angles: 90.00 90.00 90.00
With the nearest neighbours (Å) after each atom.
Space group Pm-3m (No. 221)
One atom of each set of equivalent atoms:
Cs  0.0000  0.0000  0.5000 (multiplicity 3)  2 Ni 3.20
Ni  0.0000  0.0000  0.0000 (multiplicity 1)  6 Cs 3.20
Au  0.5000  0.5000  0.5000 (multiplicity 1)  12 Cs 4.53